Entry 1:
The following is a PBE calculation of a relaxed structure of NaHg2B, from the Alexandria database.

## Properties
**SG**: I-42d
**Total DFT energy (no corrections)**: -1.716 eV/atom
**Formation energy**: 0.43 eV/atom

a b c (Å): 6.064 6.064 7.492
angles (deg): 66.13 66.13 90.00
Positions (direct):
Hg: 0.375 0.549 0.750
Hg: 0.451 0.125 0.250
Hg: 0.875 0.701 0.750
Hg: 0.299 0.625 0.250
B: 0.500 0.500 0.000
B: 0.250 0.750 0.500
Na: 0.000 0.000 0.000
Na: 0.750 0.250 0.500


Entry 2:
The following is a PBE calculation of a relaxed structure of NaHg2BO4, from the Alexandria database.

## Properties
**ΔE_f (raw)**: -1.15 eV/atom
**SG**: C2/c
**Total DFT energy (no corrections)**: -4.699 eV/atom

a b c (Å): 7.464 7.464 8.662
angles (deg): 130.85 130.85 66.00
Positions (direct):
O: 0.313 0.280 0.622
O: 0.780 0.813 0.122
O: 0.689 0.390 0.568
O: 0.311 0.610 0.432
O: 0.687 0.720 0.378
O: 0.890 0.189 0.068
O: 0.110 0.811 0.932
O: 0.220 0.187 0.878
B: 0.000 0.000 0.000
B: 0.500 0.500 0.500
Hg: 0.500 0.500 0.000
Hg: 0.000 0.000 0.500
Hg: 0.500 0.000 0.000
Hg: 0.500 0.000 0.500
Na: 0.000 0.500 0.500
Na: 0.000 0.500 0.000


Entry 3:
The following is a PBE calculation of a relaxed structure of Na2HgBO4, from the Alexandria database.

## Properties
**ΔE_f (raw)**: -1.31 eV/atom
**SG**: C2/c
**Total DFT energy (no corrections)**: -4.987 eV/atom

a b c (Å): 6.884 6.884 7.768
angles (deg): 124.25 124.25 69.89
Each line ends with the local moment (μB).
Positions (direct):
O: 0.390 0.699 0.544  0.00
O: 0.610 0.301 0.456  0.00
O: 0.232 0.267 0.898  0.41
O: 0.233 0.268 0.602  0.41
O: 0.768 0.733 0.102  0.41
O: 0.801 0.110 0.956  0.00
O: 0.767 0.732 0.398  0.41
O: 0.199 0.890 0.044  0.00
B: 0.000 0.000 0.000  0.00
B: 0.500 0.500 0.500  0.00
Na: 0.500 0.500 0.000  0.00
Na: 0.500 0.000 0.500  0.00
Na: 0.500 0.000 0.000  0.00
Na: 0.000 0.000 0.500  0.00
Hg: 0.000 0.500 0.000  0.03
Hg: 0.000 0.500 0.500  0.03


Entry 4:
The following is a PBE calculation of a relaxed structure of Na2HgB2Pt5, from the Alexandria database.

## Properties
**SG**: P4/mbm
**Total DFT energy (no corrections)**: -4.943 eV/atom
**Formation energy**: -0.29 eV/atom

a b c (Å): 2.872 10.399 10.399
angles (deg): 90.00 90.00 90.00
Positions (direct):
Hg: 0.000 0.500 0.500
Hg: 0.000 0.000 0.000
Pt: 0.500 0.937 0.234
Pt: 0.500 0.766 0.937
Pt: 0.500 0.437 0.266
Pt: 0.500 0.734 0.437
Pt: 0.500 0.500 0.000
Pt: 0.500 0.266 0.563
Pt: 0.500 0.063 0.766
Pt: 0.500 0.234 0.063
Pt: 0.500 0.563 0.734
Pt: 0.500 0.000 0.500
B: 0.000 0.122 0.622
B: 0.000 0.622 0.878
B: 0.000 0.878 0.378
B: 0.000 0.378 0.122
Na: 0.000 0.317 0.817
Na: 0.000 0.183 0.317
Na: 0.000 0.683 0.183
Na: 0.000 0.817 0.683


Entry 5:
The following is a PBE calculation of a relaxed structure of NaHgB2Rh, from the Alexandria database.

## Properties
**SG**: P4/mmm
**Total DFT energy (no corrections)**: -2.683 eV/atom
**Formation energy**: 1.78 eV/atom

a b c (Å): 4.200 5.085 4.200
angles (deg): 90.00 90.00 90.00
Positions (direct):
Hg: 0.000 0.000 0.000
B: 0.500 0.000 0.000
B: 0.000 0.000 0.500
Rh: 0.500 0.500 0.500
Na: 0.000 0.500 0.000


Entry 6:
The following is a PBE calculation of a relaxed structure of NaZn2HgB, from the Alexandria database.

## Properties
**SG**: P4/mmm
**Total DFT energy (no corrections)**: -1.350 eV/atom
**Formation energy**: 0.82 eV/atom

a b c (Å): 5.327 4.250 5.327
angles (deg): 90.00 90.00 90.00
Positions (direct):
Zn: 0.500 0.000 0.000
Zn: 0.000 0.000 0.500
Hg: 0.000 0.000 0.000
B: 0.000 0.500 0.000
Na: 0.500 0.500 0.500


Entry 7:
The following is a PBE calculation of a relaxed structure of Nb3HgB, from the Alexandria database.

## Properties
**Energy above the most stable polymorph in this dataset**: 0.00 eV per formula unit
**SG**: Pm-3m
**Total DFT energy (no corrections)**: -7.460 eV/atom
**Formation energy**: -0.02 eV/atom

a b c (Å): 4.405 4.405 4.405
angles (deg): 90.00 90.00 90.00
Positions (direct):
Nb: 0.000 0.000 0.500
Nb: 0.500 0.000 0.000
Nb: 0.000 0.500 0.000
Hg: 0.500 0.500 0.500
B: 0.000 0.000 0.000


Entry 8:
The following is a PBE calculation of a relaxed structure of NbHg3B, from the Alexandria database.

## Properties
**Energy above the most stable polymorph in this dataset**: 0.00 eV per formula unit
**SG**: Pm-3m
**Total DFT energy (no corrections)**: -2.486 eV/atom
**Formation energy**: 1.04 eV/atom

a b c (Å): 4.577 4.577 4.577
angles (deg): 90.00 90.00 90.00
Positions (direct):
B: 0.000 0.000 0.000
Hg: 0.500 0.000 0.000
Hg: 0.000 0.500 0.000
Hg: 0.000 0.000 0.500
Nb: 0.500 0.500 0.500


Entry 9:
The following is a PBE calculation of a relaxed structure of NbHg3B, from the Alexandria database.

## Properties
**Energy above the most stable polymorph in this dataset**: 3.44 eV per formula unit
**SG**: Pm-3m
**Total DFT energy (no corrections)**: -1.798 eV/atom
**Formation energy**: 1.73 eV/atom

a b c (Å): 5.444 5.444 5.444
angles (deg): 90.00 90.00 90.00
Each line ends with the local moment (μB).
Positions (direct):
Nb: 0.000 0.000 0.000  0.78
Hg: 0.000 0.500 0.000  0.04
Hg: 0.000 0.000 0.500  0.04
Hg: 0.500 0.000 0.000  0.05
B: 0.500 0.500 0.500  0.06


Entry 10:
The following is a PBE calculation of a relaxed structure of NbHgB3, from the Alexandria database.

## Properties
**Energy above the most stable polymorph in this dataset**: 3.95 eV per formula unit
**SG**: Pm-3m
**Total DFT energy (no corrections)**: -3.699 eV/atom
**Formation energy**: 2.38 eV/atom

a b c (Å): 4.224 4.224 4.224
angles (deg): 90.00 90.00 90.00
Positions (direct):
Nb: 0.500 0.500 0.500
B: 0.000 0.500 0.000
B: 0.000 0.000 0.500
B: 0.500 0.000 0.000
Hg: 0.000 0.000 0.000


Entry 11:
The following is a PBE calculation of a relaxed structure of NbHgB3, from the Alexandria database.

## Properties
**Energy above the most stable polymorph in this dataset**: 0.00 eV per formula unit
**SG**: Pm-3m
**Total DFT energy (no corrections)**: -4.490 eV/atom
**Formation energy**: 1.59 eV/atom

a b c (Å): 4.361 4.361 4.361
angles (deg): 90.00 90.00 90.00
Positions (direct):
B: 0.500 0.000 0.000
B: 0.000 0.500 0.000
B: 0.000 0.000 0.500
Nb: 0.000 0.000 0.000
Hg: 0.500 0.500 0.500


Entry 12:
The following is a PBE calculation of a relaxed structure of NbReHg2B, from the Alexandria database.

## Properties
**SG**: P4/mmm
**Total DFT energy (no corrections)**: -4.544 eV/atom
**Formation energy**: 1.42 eV/atom

a b c (Å): 5.217 3.997 5.217
angles (deg): 90.00 90.00 90.00
Each line ends with the local moment (μB).
Positions (direct):
Re: 0.000 0.000 0.000  -0.09
B: 0.000 0.500 0.000  -0.01
Nb: 0.500 0.500 0.500  2.25
Hg: 0.500 0.000 0.000  0.00
Hg: 0.000 0.000 0.500  0.00